# 1
Material: BeTePS2
Method: DFT, PBE
State: relaxed

Properties
electronic total energy	-18.44	eV/f.u.
energy relative to the elements, uncorrected	0.418	eV per atom
energy above the most stable polymorph in this dataset	0.0000	eV per atom
N(E_F)	3.28	states/eV/f.u.

Cell lengths 4.358, 4.358, 4.496 Å; angles 90.00, 90.00, 90.00 degrees
Positions (direct):
1 Be 0.000 0.000 0.000
2 Te 0.500 0.500 0.500
3 P 0.000 0.000 0.500
4 S 0.000 0.500 0.000
5 S 0.500 0.000 0.000

# 2
Material: PrHoThIn
Method: DFT, PBE
State: relaxed

Properties
electronic total energy	-19.64	eV/f.u.
N(E_F)	6.16	states/eV/f.u.
ΔE_f	-0.03	eV per atom

Cell lengths 5.527, 5.527, 5.527 Å; angles 60.00, 60.00, 60.00 degrees
Positions (direct):
1 Pr 0.000 0.000 0.000
2 Ho 0.500 0.500 0.500
3 Th 0.750 0.750 0.750
4 In 0.250 0.250 0.250